A plane-wave DFT calculation with PBE was carried out for a relaxed structure of Cd2CuPtW.

Cell and atoms, written as POSCAR:
```
Cd2CuPtW
1.0
5.138 0.000 0.000
0.000 5.138 0.000
0.000 0.000 4.891
Cd Cu Pt W
2 1 1 1
Direct
0.000 0.500 0.000
0.500 0.000 0.000
0.000 0.000 0.500
0.500 0.500 0.000
0.500 0.500 0.500
```

Calculated values
M_tot	2.072	μB/f.u.
ΔH_f (0 K)	5.6	eV per formula unit
polymorph energy (0 for the lowest one)	0	meV/atom